A relaxed structure of NaPSe2Br, computed with PBEsol.

As for the distance to the lowest polymorph of the same formula: 1.163 eV/atom. As for the total energy: -2.42 eV/atom. The value obtained for the uncorrected formation energy is 0.94 eV/atom. The value obtained for the calculated density is 3.80 g/cm³. Its density of states at the Fermi level is 1.33 states/eV per atom. For the total magnetization, the calculation gives 0.34 μB per cell.

```
data_NaPSe2Br
_chemical_formula_sum 'Na1 P1 Se2 Br1'
_cell_length_a 5.070
_cell_length_b 5.070
_cell_length_c 4.963
_cell_angle_alpha 90.00
_cell_angle_beta 90.00
_cell_angle_gamma 90.00
_space_group_name_H-M_alt 'P 4/m m m'
_space_group_IT_number 123
_space_group_name_Hall '-P 4 2'
loop_
_atom_site_label
_atom_site_type_symbol
_atom_site_fract_x
_atom_site_fract_y
_atom_site_fract_z
Na1 Na 0.000 0.000 0.000
P1 P 0.500 0.500 0.500
Se1 Se 0.000 0.500 0.000
Br1 Br 0.000 0.000 0.500
```